VASP calculation (GGA-PBE) on ZrRh2Br after structural relaxation.

Properties
space group = Fm-3m, No. 225
volume = 17.692 A^3/atom
crystal system = cubic
spin magnetization = 0.0 μB/f.u.
mass density = 8.8 g/cm³
raw formation energy = 7 kJ/mol of formula units
relative energy among the computed polymorphs = 0.386 eV/atom

Cell lengths 4.643, 4.643, 4.643 Å; angles 60.00, 60.00, 60.00 degrees
Positions (direct):
Zr 0.500 0.500 0.500
Br 0.000 0.000 0.000
Rh 0.750 0.750 0.750
Rh 0.250 0.250 0.250


VASP calculation (GGA-PBE) on ZrRhBr3 after structural relaxation.

Properties
space group = Pm-3m, No. 221
volume = 25.520 A^3/atom
crystal system = cubic
spin magnetization = 2.2 μB/f.u.
mass density = 5.6 g/cm³
raw formation energy = 119 kJ/mol of formula units
relative energy among the computed polymorphs = 0.113 eV/atom

Cell lengths 5.034, 5.034, 5.034 Å; angles 90.00, 90.00, 90.00 degrees
Positions (direct):
Br 0.000 0.000 0.500
Rh 0.000 0.000 0.000
Zr 0.500 0.500 0.500
Br 0.500 0.000 0.000
Br 0.000 0.500 0.000


VASP calculation (GGA-PBE) on Ru2Br after structural relaxation.

Properties
space group = P-3m1, No. 164
volume = 15.610 A^3/atom
crystal system = trigonal
spin magnetization = 0.0 μB/f.u.
mass density = 10.0 g/cm³
raw formation energy = 273 kJ/mol of formula units
relative energy among the computed polymorphs = 0.592 eV/atom

Cell lengths 4.190, 4.190, 3.080 Å; angles 90.00, 90.00, 120.00 degrees
Positions (direct):
Ru 0.667 0.333 0.739
Ru 0.333 0.667 0.261
Br 0.000 0.000 0.000


VASP calculation (GGA-PBE) on RuBr after structural relaxation.

Properties
space group = Fddd, No. 70
volume = 21.612 A^3/atom
crystal system = orthorhombic
spin magnetization = 0.6 μB/f.u.
mass density = 7.0 g/cm³
raw formation energy = 128 kJ/mol of formula units
relative energy among the computed polymorphs = 0.452 eV/atom

Cell lengths 7.802, 12.439, 7.126 Å; angles 90.00, 90.00, 90.00 degrees
Positions (direct):
Br 0.207 0.500 0.500
Ru 0.500 0.598 0.500
Br 0.957 0.750 0.750
Ru 0.500 0.098 0.000
Br 0.707 0.000 0.500
Ru 0.500 0.902 0.000
Ru 0.750 0.152 0.750
Ru 0.000 0.598 0.000
Ru 0.250 0.348 0.250
Br 0.543 0.750 0.750
Ru 0.250 0.152 0.250
Br 0.457 0.750 0.250
Br 0.293 0.500 0.000
Br 0.793 0.500 0.500
Ru 0.250 0.848 0.750
Br 0.957 0.250 0.250
Br 0.043 0.750 0.250
Ru 0.000 0.098 0.500
Br 0.043 0.250 0.750
Br 0.293 0.000 0.500
Ru 0.750 0.652 0.250
Br 0.543 0.250 0.250
Ru 0.500 0.402 0.500
Br 0.707 0.500 0.000
Ru 0.250 0.652 0.750
Br 0.207 0.000 0.000
Br 0.457 0.250 0.750
Ru 0.000 0.902 0.500
Ru 0.750 0.348 0.750
Ru 0.750 0.848 0.250
Br 0.793 0.000 0.000
Ru 0.000 0.402 0.000


VASP calculation (GGA-PBE) on Ru3Br after structural relaxation.

Properties
space group = P-6m2, No. 187
volume = 15.433 A^3/atom
crystal system = hexagonal
spin magnetization = 0.0 μB/f.u.
mass density = 10.3 g/cm³
raw formation energy = 223 kJ/mol of formula units
relative energy among the computed polymorphs = 0.000 eV/atom

Cell lengths 2.889, 2.889, 8.538 Å; angles 90.00, 90.00, 120.00 degrees
Positions (direct):
Ru 0.667 0.333 0.736
Br 0.000 0.000 0.000
Ru 0.667 0.333 0.264
Ru 0.000 0.000 0.500


VASP calculation (GGA-PBE) on RuBr after structural relaxation.

Properties
space group = P4_2/mnm, No. 136
volume = 22.807 A^3/atom
crystal system = tetragonal
spin magnetization = 0.0 μB/f.u.
mass density = 6.6 g/cm³
raw formation energy = 137 kJ/mol of formula units
relative energy among the computed polymorphs = 0.501 eV/atom

Cell lengths 7.563, 7.563, 3.190 Å; angles 90.00, 90.00, 90.00 degrees
Positions (direct):
Ru 0.881 0.119 0.500
Br 0.201 0.201 0.500
Ru 0.619 0.619 0.000
Ru 0.381 0.381 0.000
Br 0.799 0.799 0.500
Br 0.701 0.299 0.000
Ru 0.119 0.881 0.500
Br 0.299 0.701 0.000